# LiMnTc2 (GGA-PBE, relaxed)
# final energy = -7.70 eV/atom
# E above lowest polymorph = 0.061 eV per atom
# space group = Cmmm
# ΔH_f (0 K) = 0.25 eV/atom
data_LiMnTc2
_chemical_formula_sum 'Li1 Mn1 Tc2'
_space_group_name_H-M_alt 'P 1'
_space_group_IT_number 1
_space_group_name_Hall 'P 1'
_cell_length_a 4.946
_cell_length_b 4.946
_cell_length_c 2.516
_cell_angle_alpha 90.00
_cell_angle_beta 90.00
_cell_angle_gamma 117.85
loop_
_atom_site_label
_atom_site_fract_x
_atom_site_fract_y
_atom_site_fract_z
Li1 0.000 0.000 0.000
Mn1 0.500 0.500 0.000
Tc1 0.000 0.500 0.500
Tc2 0.500 0.000 0.500



# Li4MnTc (GGA-PBE, relaxed)
# final energy = -4.04 eV/atom
# space group = F-43m
# ΔH_f (0 K) = 0.49 eV/atom
data_Li4MnTc
_chemical_formula_sum 'Li4 Mn1 Tc1'
_space_group_name_H-M_alt 'P 1'
_space_group_IT_number 1
_space_group_name_Hall 'P 1'
_cell_length_a 4.868
_cell_length_b 4.868
_cell_length_c 4.868
_cell_angle_alpha 60.00
_cell_angle_beta 60.00
_cell_angle_gamma 60.00
loop_
_atom_site_label
_atom_site_fract_x
_atom_site_fract_y
_atom_site_fract_z
Li1 0.376 0.376 0.376
Li2 0.376 0.376 0.873
Li3 0.376 0.873 0.376
Li4 0.873 0.376 0.376
Mn1 0.000 0.000 0.000
Tc1 0.750 0.750 0.750



Repeat the second record exactly.
# Li4MnTc (GGA-PBE, relaxed)
# final energy = -4.04 eV/atom
# space group = F-43m
# ΔH_f (0 K) = 0.49 eV/atom
data_Li4MnTc
_chemical_formula_sum 'Li4 Mn1 Tc1'
_space_group_name_H-M_alt 'P 1'
_space_group_IT_number 1
_space_group_name_Hall 'P 1'
_cell_length_a 4.868
_cell_length_b 4.868
_cell_length_c 4.868
_cell_angle_alpha 60.00
_cell_angle_beta 60.00
_cell_angle_gamma 60.00
loop_
_atom_site_label
_atom_site_fract_x
_atom_site_fract_y
_atom_site_fract_z
Li1 0.376 0.376 0.376
Li2 0.376 0.376 0.873
Li3 0.376 0.873 0.376
Li4 0.873 0.376 0.376
Mn1 0.000 0.000 0.000
Tc1 0.750 0.750 0.750